The following is a PBE-GGA calculation of crystalline NaHfAl2P at its relaxed geometry, from Alexandria via LeMat-Bulk.

POSCAR file:
```
NaHfAl2P
1.0
5.331 0.000 0.000
0.000 5.331 0.000
0.000 0.000 4.969
Na Hf Al P
1 1 2 1
Direct
0.000 0.000 0.000 Na
0.500 0.500 0.500 Hf
0.000 0.500 0.500 Al
0.500 0.000 0.500 Al
0.500 0.500 0.000 P
```

Calculated values
Energy of formation from the pure elements: 0.3224 eV per atom
E_tot: -22.556 eV per cell
Volume: 28.25 Å³/atom

The following is a PBE-GGA calculation of crystalline Na2Hf2AlSe6 at its relaxed geometry, from Alexandria via LeMat-Bulk.

POSCAR file:
```
Na2Hf2AlSe6
1.0
3.317 -5.767 0.000
3.317 5.767 0.000
-2.266 0.000 7.097
Na Hf Al Se
2 2 1 6
Direct
0.168 0.832 0.000 Na
0.832 0.168 0.000 Na
0.331 0.669 0.500 Hf
0.669 0.331 0.500 Hf
0.000 0.000 0.500 Al
0.074 0.398 0.713 Se
0.251 0.251 0.293 Se
0.398 0.074 0.713 Se
0.602 0.926 0.287 Se
0.749 0.749 0.707 Se
0.926 0.602 0.287 Se
```

Calculated values
E_tot: -60.281 eV per cell
Formation energy from raw total energies: -1.19 eV/atom
Volume: 24.68 Å³/atom

The following is a PBE-GGA calculation of crystalline Na2Hf2AlTe6 at its relaxed geometry, from Alexandria via LeMat-Bulk.

POSCAR file:
```
Na2Hf2AlTe6
1.0
3.575 -6.258 0.000
3.575 6.258 0.000
-2.482 0.000 7.634
Na Hf Al Te
2 2 1 6
Direct
0.165 0.835 0.000 Na
0.835 0.165 0.000 Na
0.329 0.671 0.500 Hf
0.671 0.329 0.500 Hf
0.000 0.000 0.500 Al
0.079 0.405 0.717 Te
0.257 0.257 0.294 Te
0.405 0.079 0.717 Te
0.595 0.921 0.283 Te
0.743 0.743 0.706 Te
0.921 0.595 0.283 Te
```

Calculated values
E_tot: -53.450 eV per cell
Formation energy from raw total energies: -0.76 eV/atom
Volume: 31.05 Å³/atom

The following is a PBE-GGA calculation of crystalline Hf7NbAl4 at its relaxed geometry, from Alexandria via LeMat-Bulk.

POSCAR file:
```
Hf7NbAl4
1.0
6.619 -2.568 0.000
6.619 2.568 0.000
-4.410 0.000 7.278
Hf Nb Al
7 1 4
Direct
0.000 0.000 0.000 Hf
0.265 0.265 0.735 Hf
0.297 0.297 0.121 Hf
0.426 0.426 0.584 Hf
0.574 0.574 0.416 Hf
0.703 0.703 0.879 Hf
0.735 0.735 0.265 Hf
0.500 0.500 0.000 Nb
0.048 0.048 0.698 Al
0.178 0.178 0.357 Al
0.822 0.822 0.643 Al
0.952 0.952 0.302 Al
```

Calculated values
Energy of formation from the pure elements: 0.0974 eV per atom
E_tot: -93.546 eV per cell
Volume: 20.62 Å³/atom